[1]
A plane-wave DFT calculation with GGA-PBE was carried out for a relaxed structure of Nd6Rh5Au.

Cell lengths 5.0374, 7.1962, 7.9351 Å; angles 90.00, 108.22, 90.00 degrees
Space group P2/m (No. 10)
Symmetry-distinct sites (fractional):
Nd1 0.0000 0.2419 0.0000
Nd2 0.3296 0.2472 0.6601
Rh1 0.1672 0.5000 0.3340
Rh2 0.1675 0.0000 0.3328
Rh3 0.5000 0.0000 0.0000
Au1 0.5000 0.5000 0.0000

ΔE_f ... -0.666 eV per atom
Total moment ... 0.00 μB per formula unit

---

[2]
A plane-wave DFT calculation with GGA-PBE was carried out for a relaxed structure of Sb4Rh.

Cell lengths 6.4457, 6.4457, 6.4457 Å; angles 90.00, 90.00, 90.00 degrees
Space group Im-3m (No. 229)
Symmetry-distinct sites (fractional):
Sb1 0.2500 0.2500 0.2500
Rh1 0.0000 0.0000 0.0000

Formation energy without anion corrections ... 2.07 kcal/mol of atoms
Excess energy over the best structure of this formula in the dataset ... 0 meV/atom
Total moment ... 0.00 μB per formula unit

---

[3]
A plane-wave DFT calculation with GGA-PBE was carried out for a relaxed structure of PmMgSc3.

Cell lengths 5.3766, 15.1850, 6.5823 Å; angles 90.00, 90.00, 90.00 degrees
Space group Cmcm (No. 63)
Symmetry-distinct sites (fractional):
Pm1 0.0000 0.1131 0.2500
Mg1 0.0000 0.4917 0.2500
Sc1 0.0000 0.1308 0.7500
Sc2 0.0000 0.3088 0.0020

ΔE_f ... 0.067 eV per atom
Total moment ... 0.00 μB per formula unit

---

[4]
A plane-wave DFT calculation with GGA-PBE was carried out for a relaxed structure of Er2Al3Zn4.

Cell lengths 5.7129, 15.2952, 7.6114 Å; angles 90.00, 90.00, 90.00 degrees
Space group Cmce (No. 64)
Symmetry-distinct sites (fractional):
Er1 0.0000 0.1043 0.0996
Al1 0.0000 0.0000 0.5000
Al2 0.2500 0.2334 0.7500
Zn1 0.0000 0.1727 0.4820
Zn2 0.2500 0.0648 0.7500

ΔE_f ... -0.318 eV per atom
Total moment ... 0.00 μB per formula unit

---

[5]
A plane-wave DFT calculation with GGA-PBE was carried out for a relaxed structure of TaBiAs3.

Cell lengths 5.0372, 5.0372, 5.0372 Å; angles 90.00, 90.00, 90.00 degrees
Space group Pm-3m (No. 221)
Symmetry-distinct sites (fractional):
Ta1 0.0000 0.0000 0.0000
Bi1 0.5000 0.5000 0.5000
As1 0.0000 0.0000 0.5000

ΔE_f ... 0.326 eV per atom
Excess energy over the best structure of this formula in the dataset ... 0 meV/atom
Total moment ... 0.00 μB per formula unit

---

[6]
A plane-wave DFT calculation with GGA-PBE was carried out for a relaxed structure of Pm5Nd6Dy2.

Cell lengths 11.8358, 20.9298, 3.6563 Å; angles 90.00, 90.00, 90.00 degrees
Space group Pbam (No. 55)
Symmetry-distinct sites (fractional):
Pm1 0.0000 0.0000 0.0000
Pm2 0.0879 0.2736 0.0000
Pm3 0.1976 0.5549 0.0000
Nd1 0.0622 0.4198 0.5000
Nd2 0.0822 0.1323 0.5000
Nd3 0.1746 0.8628 0.0000
Dy1 0.1692 0.7110 0.5000

ΔE_f ... 0.092 eV per atom
Total moment ... 0.00 μB per formula unit

---

[7]
A plane-wave DFT calculation with GGA-PBE was carried out for a relaxed structure of SmGeN.

Cell lengths 3.8787, 3.9591, 8.1146 Å; angles 77.77, 79.28, 69.94 degrees
Space group P-1 (No. 2)
Symmetry-distinct sites (fractional):
Sm1 0.1530 0.1490 0.1704
Ge1 0.3029 0.3010 0.5592
N1 0.3475 0.6642 0.0147

Formation energy without anion corrections ... -16.09 kcal/mol of atoms
Total moment ... 0.00 μB per formula unit

---

[8]
A plane-wave DFT calculation with GGA-PBE was carried out for a relaxed structure of Sc2Hg.

Cell lengths 13.0153, 13.0153, 13.0153 Å; angles 90.00, 90.00, 90.00 degrees
Space group Fd-3m (No. 227, origin choice 2)
Symmetry-distinct sites (fractional):
Sc1 0.0000 0.0000 0.0000
Sc2 0.0611 0.3750 0.8750
Hg1 0.0310 0.0310 0.2190

ΔE_f ... -0.324 eV per atom
Total moment ... 0.00 μB per formula unit

---

[9]
A plane-wave DFT calculation with GGA-PBE was carried out for a relaxed structure of PrZn4Sn.

Cell lengths 7.8738, 7.8738, 7.8738 Å; angles 90.00, 90.00, 90.00 degrees
Space group F-43m (No. 216)
Symmetry-distinct sites (fractional):
Pr1 0.0000 0.0000 0.0000
Zn1 0.1248 0.1248 0.3752
Sn1 0.2500 0.2500 0.7500

ΔE_f ... -0.159 eV per atom
Total moment ... 0.00 μB per formula unit

---

[10]
A plane-wave DFT calculation with GGA-PBE was carried out for a relaxed structure of NiMoH3.

Cell lengths 3.2366, 3.2366, 3.2366 Å; angles 90.00, 90.00, 90.00 degrees
Space group Pm-3m (No. 221)
Symmetry-distinct sites (fractional):
Ni1 0.0000 0.0000 0.0000
Mo1 0.5000 0.5000 0.5000
H1 0.0000 0.0000 0.5000

Excess energy over the best structure of this formula in the dataset ... 0 meV/atom
Total moment ... 0.00 μB per formula unit

---

[11]
A plane-wave DFT calculation with GGA-PBE was carried out for a relaxed structure of Sr2Li3UH12.

Cell lengths 7.5450, 7.5450, 12.4357 Å; angles 90.00, 90.00, 120.00 degrees
Space group R-3m (No. 166, hexagonal axes)
Symmetry-distinct sites (fractional):
Sr1 0.0000 0.0000 0.1694
Li1 0.0000 0.5000 0.0000
U1 0.0000 0.0000 0.5000
H1 0.0137 0.5069 0.1418
H2 0.1007 0.2013 0.6489

VASP energy ... -3.615 eV/atom
Total moment ... 1.00 μB per formula unit

---

[12]
A plane-wave DFT calculation with GGA-PBE was carried out for a relaxed structure of Pm8Tl3S3N.

Cell lengths 13.6806, 7.9115, 9.1159 Å; angles 90.00, 119.94, 90.00 degrees
Space group C2/m (No. 12)
Symmetry-distinct sites (fractional):
Pm1 0.0131 0.2262 0.3131
Pm2 0.2130 0.0000 0.6870
Pm3 0.2351 0.5000 0.7054
Tl1 0.0000 0.0000 0.0000
Tl2 0.2500 0.2500 0.0000
S1 0.0000 0.5000 0.5000
S2 0.2500 0.2500 0.5000
N1 0.0000 0.0000 0.5000

Formation energy without anion corrections ... -25.12 kcal/mol of atoms
Total moment ... 0.00 μB per formula unit

---

[13]
A plane-wave DFT calculation with GGA-PBE was carried out for a relaxed structure of BeNiW.

Cell lengths 3.5743, 3.5743, 6.1067 Å; angles 90.00, 90.00, 90.00 degrees
Space group P4/nmm (No. 129, origin choice 2)
Symmetry-distinct sites (fractional):
Be1 0.2500 0.2500 0.1919
Ni1 0.2500 0.2500 0.8388
W1 0.2500 0.7500 0.5000

ΔE_f ... 0.263 eV per atom
Excess energy over the best structure of this formula in the dataset ... 505 meV/atom
Total moment ... 0.00 μB per formula unit

---

[14]
A plane-wave DFT calculation with GGA-PBE was carried out for a relaxed structure of TbSmPuMg.

Cell lengths 7.7757, 7.7757, 7.7757 Å; angles 90.00, 90.00, 90.00 degrees
Space group F-43m (No. 216)
Symmetry-distinct sites (fractional):
Tb1 0.0000 0.0000 0.0000
Sm1 0.0000 0.0000 0.5000
Pu1 0.2500 0.2500 0.2500
Mg1 0.2500 0.2500 0.7500

ΔE_f ... 0.149 eV per atom
Total moment ... 6.19 μB per formula unit

---

[15]
A plane-wave DFT calculation with GGA-PBE was carried out for a relaxed structure of Tl12In3Te5.

Cell lengths 18.5925, 18.5925, 18.5925 Å; angles 90.00, 90.00, 90.00 degrees
Space group Ia-3d (No. 230)
Symmetry-distinct sites (fractional):
Tl1 0.0136 0.0764 0.6551
In1 0.0000 0.2500 0.1250
Te1 0.0000 0.0000 0.0000
Te2 0.0000 0.2500 0.3750

Formation energy without anion corrections ... -0.61 kcal/mol of atoms
Total moment ... 0.00 μB per formula unit

---

[16]
A plane-wave DFT calculation with GGA-PBE was carried out for a relaxed structure of LiThGa4Pd2.

Cell lengths 4.3478, 4.3478, 25.8048 Å; angles 90.00, 90.00, 120.00 degrees
Space group R-3m (No. 166, hexagonal axes)
Symmetry-distinct sites (fractional):
Li1 0.0000 0.0000 0.0000
Th1 0.0000 0.0000 0.5000
Ga1 0.0000 0.0000 0.1003
Ga2 0.0000 0.0000 0.3714
Pd1 0.0000 0.0000 0.2667

ΔE_f ... -0.608 eV per atom
Total moment ... 0.00 μB per formula unit

---

[17]
A plane-wave DFT calculation with GGA-PBE was carried out for a relaxed structure of Sr2GaSn6Pd.

Cell lengths 6.6903, 9.2351, 9.7458 Å; angles 90.00, 90.00, 90.00 degrees
Space group Pmmn (No. 59, origin choice 2)
Symmetry-distinct sites (fractional):
Sr1 0.2500 0.0062 0.2277
Ga1 0.2500 0.2500 0.8448
Sn1 0.0107 0.7500 0.4892
Sn2 0.0424 0.7500 0.9679
Sn3 0.2500 0.0324 0.6545
Pd1 0.2500 0.7500 0.7220

ΔE_f ... -0.291 eV per atom
Total moment ... 0.00 μB per formula unit

---

[18]
A plane-wave DFT calculation with GGA-PBE was carried out for a relaxed structure of La3SmEr2Te6.

Cell lengths 7.6739, 13.3595, 7.8278 Å; angles 90.00, 109.22, 90.00 degrees
Space group C2/m (No. 12)
Symmetry-distinct sites (fractional):
La1 0.0000 0.0000 0.0000
La2 0.0000 0.3384 0.0000
Sm1 0.0000 0.5000 0.5000
Er1 0.0000 0.1669 0.5000
Te1 0.2358 0.0000 0.7303
Te2 0.2487 0.3296 0.7350

Formation energy without anion corrections ... -33.22 kcal/mol of atoms
Total moment ... 0.01 μB per formula unit